Entry from the Alexandria database: an optimized crystal structure of Nb5AlSi2 (PBE).

Geometry as POSCAR:
```
Nb5AlSi2
1.0
6.044 0.000 -2.853
-1.347 5.892 -2.853
-0.095 -0.119 7.627
Nb Al Si
10 2 4
Direct
0.518 0.687 0.705 Nb
0.813 0.982 0.295 Nb
0.000 0.000 0.000 Nb
0.500 0.500 0.000 Nb
0.187 0.018 0.705 Nb
0.687 0.187 0.705 Nb
0.018 0.518 0.705 Nb
0.313 0.813 0.295 Nb
0.982 0.482 0.295 Nb
0.482 0.313 0.295 Nb
0.750 0.750 0.500 Al
0.250 0.250 0.500 Al
0.129 0.371 0.000 Si
0.629 0.129 0.000 Si
0.371 0.871 0.000 Si
0.871 0.629 0.000 Si
```

## Properties
- Formation energy from raw total energies: -0.58 eV/atom

***

Entry from the Alexandria database: an optimized crystal structure of NbAlSi (PBE).

Geometry as POSCAR:
```
NbAlSi
1.0
2.723 0.000 0.000
0.000 4.451 0.000
0.000 -2.226 3.855
Nb Si Al
1 1 1
Direct
0.001 0.000 0.000 Nb
0.499 0.333 0.667 Si
0.500 0.667 0.333 Al
```

## Properties
- Formation energy from raw total energies: -0.15 eV/atom

***

Entry from the Alexandria database: an optimized crystal structure of Sm6Nb4Al43 (PBE).

Geometry as POSCAR:
```
Sm6Nb4Al43
1.0
11.175 0.000 0.000
-5.588 9.678 0.000
0.000 0.000 17.945
Sm Nb Al
12 8 86
Direct
0.000 0.471 0.904 Sm
0.000 0.529 0.096 Sm
0.471 0.000 0.904 Sm
0.000 0.529 0.404 Sm
0.471 0.000 0.596 Sm
0.529 0.000 0.096 Sm
0.000 0.471 0.596 Sm
0.529 0.000 0.404 Sm
0.529 0.529 0.904 Sm
0.471 0.471 0.096 Sm
0.471 0.471 0.404 Sm
0.529 0.529 0.596 Sm
0.000 0.000 0.000 Nb
0.000 0.000 0.500 Nb
0.000 0.272 0.750 Nb
0.000 0.728 0.250 Nb
0.272 0.000 0.750 Nb
0.728 0.000 0.250 Nb
0.728 0.728 0.750 Nb
0.272 0.272 0.250 Nb
0.405 0.851 0.750 Al
0.595 0.149 0.250 Al
0.446 0.595 0.750 Al
0.851 0.405 0.750 Al
0.554 0.405 0.250 Al
0.149 0.595 0.250 Al
0.149 0.554 0.750 Al
0.595 0.446 0.750 Al
0.851 0.446 0.250 Al
0.405 0.554 0.250 Al
0.554 0.149 0.750 Al
0.446 0.851 0.250 Al
0.000 0.842 0.385 Al
0.000 0.158 0.615 Al
0.842 0.000 0.385 Al
0.000 0.158 0.885 Al
0.842 0.000 0.115 Al
0.158 0.000 0.615 Al
0.000 0.842 0.115 Al
0.158 0.000 0.885 Al
0.158 0.158 0.385 Al
0.842 0.842 0.615 Al
0.842 0.842 0.885 Al
0.158 0.158 0.115 Al
0.506 0.753 0.000 Al
0.494 0.247 0.000 Al
0.247 0.494 0.000 Al
0.494 0.247 0.500 Al
0.753 0.506 0.500 Al
0.753 0.506 0.000 Al
0.506 0.753 0.500 Al
0.247 0.494 0.500 Al
0.247 0.753 0.000 Al
0.753 0.247 0.000 Al
0.753 0.247 0.500 Al
0.247 0.753 0.500 Al
0.000 0.853 0.750 Al
0.000 0.147 0.250 Al
0.853 0.000 0.750 Al
0.147 0.000 0.250 Al
0.147 0.147 0.750 Al
0.853 0.853 0.250 Al
0.333 0.667 0.874 Al
0.667 0.333 0.126 Al
0.667 0.333 0.374 Al
0.667 0.333 0.626 Al
0.333 0.667 0.626 Al
0.333 0.667 0.374 Al
0.333 0.667 0.126 Al
0.667 0.333 0.874 Al
0.000 0.746 0.971 Al
0.000 0.254 0.029 Al
0.746 0.000 0.971 Al
0.000 0.254 0.471 Al
0.746 0.000 0.529 Al
0.254 0.000 0.029 Al
0.000 0.746 0.529 Al
0.254 0.000 0.471 Al
0.254 0.254 0.971 Al
0.746 0.746 0.029 Al
0.746 0.746 0.471 Al
0.254 0.254 0.529 Al
0.606 0.842 0.836 Al
0.394 0.158 0.164 Al
0.236 0.394 0.836 Al
0.394 0.158 0.336 Al
0.842 0.606 0.664 Al
0.764 0.606 0.164 Al
0.606 0.842 0.664 Al
0.158 0.394 0.336 Al
0.158 0.764 0.836 Al
0.764 0.606 0.336 Al
0.394 0.236 0.664 Al
0.842 0.236 0.164 Al
0.236 0.394 0.664 Al
0.606 0.764 0.336 Al
0.158 0.394 0.164 Al
0.842 0.606 0.836 Al
0.842 0.236 0.336 Al
0.606 0.764 0.164 Al
0.158 0.764 0.664 Al
0.394 0.236 0.836 Al
0.764 0.158 0.664 Al
0.236 0.842 0.336 Al
0.236 0.842 0.164 Al
0.764 0.158 0.836 Al
```

## Properties
- Energy relative to the elements: -0.340 eV/atom